1.
# YMg2Ge2

A relaxed YMg2Ge2 crystal (PBE-GGA, Alexandria via LeMat-Bulk).

Values from the calculation:
DFT formation energy   -0.4428 eV per atom
Excess energy over the best structure of this formula in the dataset   0.0000 eV per atom
Electronic total energy   -42.20 eV for the cell shown

a = 4.2331 Å, b = 4.2331 Å, c = 11.8917 Å
α = 90.00°, β = 90.00°, γ = 90.00°
Closest atoms and distances in Å follow each position.
Space group I4/mmm (No. 139)
Asymmetric unit:
1 Y 0.0000 0.0000 0.0000 x2  8 Ge 3.24
2 Mg 0.0000 0.5000 0.2500 x4  4 Ge 2.73, 4 Mg 2.99
3 Ge 0.0000 0.0000 0.3947 x4  1 Ge 2.50, 4 Mg 2.73

2.
# LaTbCdPt

A relaxed LaTbCdPt crystal (PBE-GGA, Alexandria via LeMat-Bulk).

Values from the calculation:
DFT formation energy   -0.6541 eV per atom
Electronic total energy   -76.52 eV for the cell shown

a = 7.4111 Å, b = 7.4111 Å, c = 7.4111 Å
α = 90.00°, β = 90.00°, γ = 90.00°
Closest atoms and distances in Å follow each position.
Space group F-43m (No. 216)
Asymmetric unit:
1 La 0.0000 0.0000 0.0000 x4  4 Pt 3.21, 4 Cd 3.21
2 Tb 0.0000 0.0000 0.5000 x4  4 Cd 3.21, 4 Pt 3.21
3 Cd 0.2500 0.2500 0.2500 x4  4 Tb 3.21, 4 La 3.21
4 Pt 0.2500 0.2500 0.7500 x4  4 Tb 3.21, 4 La 3.21

3.
# Pr6InRh3

A relaxed Pr6InRh3 crystal (PBE-GGA, Alexandria via LeMat-Bulk).

Values from the calculation:
DFT formation energy   -0.4880 eV per atom
Electronic total energy   -116.70 eV for the cell shown

a = 12.1323 Å, b = 4.1668 Å, c = 12.4914 Å
α = 90.00°, β = 107.74°, γ = 90.00°
Closest atoms and distances in Å follow each position.
Space group P2_1/m (No. 11)
Asymmetric unit:
1 Pr 0.0236 0.2500 0.3872 x2  4 Rh 2.86-3.19
2 Pr 0.1120 0.2500 0.9501 x2  4 Rh 2.88-2.99
3 Pr 0.2090 0.7500 0.2598 x2  3 Rh 2.89-3.11
4 Pr 0.2933 0.7500 0.7615 x2  2 Rh 2.82
5 Pr 0.3530 0.2500 0.5292 x2  2 Rh 2.92
6 Pr 0.4246 0.7500 0.0882 x2  3 Rh 2.86-2.90
7 In 0.4503 0.2500 0.3062 x2  8 Pr 3.34-3.49
8 Rh 0.0446 0.2500 0.1615 x2  6 Pr 2.88-2.99
9 Rh 0.1776 0.7500 0.4975 x2  7 Pr 2.86-3.19
10 Rh 0.3427 0.2500 0.9208 x2  6 Pr 2.82-2.93

4.
# LiGeN

A relaxed LiGeN crystal (PBE-GGA, Alexandria via LeMat-Bulk).

Values from the calculation:
Excess energy over the best structure of this formula in the dataset   0.0428 eV per atom
Electronic total energy   -62.55 eV for the cell shown
Formation energy (no corrections)   -0.26 eV per atom

a = 5.4325 Å, b = 3.0225 Å, c = 9.3146 Å
α = 90.00°, β = 90.00°, γ = 90.00°
Closest atoms and distances in Å follow each position.
Space group Pnma (No. 62)
Asymmetric unit:
1 Li 0.0779 0.2500 0.1010 x4  3 N 2.10-2.17
2 Ge 0.0742 0.7500 0.3727 x4  3 N 1.99-2.08
3 N 0.2182 0.2500 0.4827 x4  3 Ge 1.99-2.08, 3 Li 2.10-2.17

5.
# CeSmTm

A relaxed CeSmTm crystal (PBE-GGA, Alexandria via LeMat-Bulk).

Values from the calculation:
DFT formation energy   0.1439 eV per atom
Excess energy over the best structure of this formula in the dataset   0.0740 eV per atom
Electronic total energy   -58.77 eV for the cell shown

a = 6.3276 Å, b = 10.3312 Å, c = 6.5879 Å
α = 90.00°, β = 118.72°, γ = 90.00°
Closest atoms and distances in Å follow each position.
Space group P2_1/c (No. 14)
Asymmetric unit:
1 Ce 0.1895 0.2233 0.1294 x4  2 Ce 3.34, 4 Sm 3.36-3.60, 4 Tm 3.43-3.67
2 Sm 0.3127 0.6290 0.8464 x4  4 Ce 3.36-3.60, 4 Tm 3.37-3.53, 1 Sm 3.49
3 Tm 0.2227 0.5410 0.2920 x4  2 Tm 3.36-3.61, 4 Sm 3.37-3.53, 4 Ce 3.43-3.67

6.
# ThNi2H8

A relaxed ThNi2H8 crystal (PBE-GGA, Alexandria via LeMat-Bulk).

Values from the calculation:
Excess energy over the best structure of this formula in the dataset   0.1589 eV per atom
Electronic total energy   -91.20 eV for the cell shown

a = 4.0039 Å, b = 4.0039 Å, c = 10.7206 Å
α = 90.00°, β = 90.00°, γ = 90.00°
Closest atoms and distances in Å follow each position.
Space group I4/mmm (No. 139)
Asymmetric unit:
1 Th 0.0000 0.0000 0.0000 x2  8 H 2.36
2 Ni 0.0000 0.5000 0.2500 x4  8 H 1.69
3 H 0.2237 0.2237 0.3348 x16  2 Ni 1.69, 3 H 1.79-1.84

7.
# Te2RuCl

A relaxed Te2RuCl crystal (PBE-GGA, Alexandria via LeMat-Bulk).

Values from the calculation:
Excess energy over the best structure of this formula in the dataset   0.9539 eV per atom
Electronic total energy   -14.41 eV for the cell shown
Formation energy (no corrections)   0.75 eV per atom

a = 4.2612 Å, b = 4.2612 Å, c = 4.8169 Å
α = 90.00°, β = 90.00°, γ = 90.00°
Closest atoms and distances in Å follow each position.
Space group P4/mmm (No. 123)
Asymmetric unit:
1 Te 0.0000 0.5000 0.0000 x2  4 Te 3.01, 4 Cl 3.22, 4 Ru 3.22
2 Ru 0.0000 0.0000 0.5000 x1  4 Cl 3.01, 8 Te 3.22
3 Cl 0.5000 0.5000 0.5000 x1  4 Ru 3.01, 8 Te 3.22

8.
# ZnCrIn2

A relaxed ZnCrIn2 crystal (PBE-GGA, Alexandria via LeMat-Bulk).

Values from the calculation:
DFT formation energy   0.3174 eV per atom
Electronic total energy   -30.21 eV for the cell shown

a = 9.3988 Å, b = 3.2595 Å, c = 5.3156 Å
α = 90.00°, β = 100.07°, γ = 90.00°
Closest atoms and distances in Å follow each position.
Space group C2/m (No. 12)
Asymmetric unit:
1 Zn 0.0000 0.0000 0.0000 x2  6 In 2.89-2.99, 4 Cr 3.12
2 Cr 0.0000 0.5000 0.5000 x2  6 In 2.90-2.96, 4 Zn 3.12
3 In 0.2485 0.0000 0.7471 x4  3 Zn 2.89-2.99, 3 Cr 2.90-2.96, 4 In 3.10-3.14

9.
# CaTbRe4

A relaxed CaTbRe4 crystal (PBE-GGA, Alexandria via LeMat-Bulk).

Values from the calculation:
DFT formation energy   0.0206 eV per atom
Electronic total energy   -225.20 eV for the cell shown

a = 7.6701 Å, b = 7.6701 Å, c = 7.6701 Å
α = 90.00°, β = 90.00°, γ = 90.00°
Closest atoms and distances in Å follow each position.
Space group F-43m (No. 216)
Asymmetric unit:
1 Ca 0.0000 0.0000 0.0000 x4  12 Re 3.18, 4 Tb 3.32
2 Tb 0.2500 0.2500 0.2500 x4  12 Re 3.18, 4 Ca 3.32
3 Re 0.1250 0.1250 0.6250 x16  6 Re 2.71

10.
# SrBeTlSn2

A relaxed SrBeTlSn2 crystal (PBE-GGA, Alexandria via LeMat-Bulk).

Values from the calculation:
DFT formation energy   -0.0029 eV per atom
Electronic total energy   -15.79 eV for the cell shown

a = 5.0937 Å, b = 5.0937 Å, c = 5.2516 Å
α = 90.00°, β = 90.00°, γ = 90.00°
Closest atoms and distances in Å follow each position.
Space group P4/mmm (No. 123)
Asymmetric unit:
1 Sr 0.0000 0.0000 0.0000 x1  4 Tl 3.60, 8 Sn 3.66
2 Be 0.5000 0.5000 0.5000 x1  4 Sn 2.55, 2 Tl 2.63
3 Tl 0.5000 0.5000 0.0000 x1  2 Be 2.63
4 Sn 0.0000 0.5000 0.5000 x2  2 Be 2.55

11.
# LaGeAsBr2

A relaxed LaGeAsBr2 crystal (PBE-GGA, Alexandria via LeMat-Bulk).

Values from the calculation:
Excess energy over the best structure of this formula in the dataset   0.1660 eV per atom
Electronic total energy   -19.14 eV for the cell shown
Formation energy (no corrections)   -0.32 eV per atom

a = 5.7038 Å, b = 5.7038 Å, c = 6.0427 Å
α = 90.00°, β = 90.00°, γ = 90.00°
Closest atoms and distances in Å follow each position.
Space group P4/mmm (No. 123)
Asymmetric unit:
1 La 0.0000 0.0000 0.0000 x1  4 Br 2.85, 2 As 3.02
2 Ge 0.5000 0.5000 0.5000 x1  4 As 4.03, 8 Br 4.15
3 As 0.0000 0.0000 0.5000 x1  2 La 3.02
4 Br 0.0000 0.5000 0.0000 x2  2 La 2.85

12.
# Nd3YIn3

A relaxed Nd3YIn3 crystal (PBE-GGA, Alexandria via LeMat-Bulk).

Values from the calculation:
DFT formation energy   -0.3197 eV per atom
Excess energy over the best structure of this formula in the dataset   0.0234 eV per atom
Electronic total energy   -62.44 eV for the cell shown

a = 9.6132 Å, b = 9.6132 Å, c = 5.2326 Å
α = 90.00°, β = 90.00°, γ = 120.00°
Closest atoms and distances in Å follow each position.
Space group P6_3/m (No. 176)
Asymmetric unit:
1 Nd 0.0008 0.2389 0.2500 x6  4 In 3.22-3.31, 4 Nd 3.48
2 Y 0.3333 0.6667 0.2500 x2  9 In 3.47-3.48, 3 Nd 3.74
3 In 0.0735 0.4595 0.7500 x6  4 Nd 3.22-3.31, 2 In 3.25, 3 Y 3.47-3.48